1.
# Na3Tb2PbS6

A geometry-optimized Na3Tb2PbS6 structure (PBE-GGA, Alexandria via LeMat-Bulk).

Structure (POSCAR):
```
Na3Tb2PbS6
1.0
-2.458 -6.457 -1.011
5.095 1.105 4.644
-5.472 2.788 3.581
Tb Na S Pb
2 3 6 1
Direct
0.333 0.667 0.000
0.667 0.333 0.000
0.162 0.838 0.500
0.838 0.162 0.500
0.500 0.500 0.500
0.922 0.580 0.769
0.734 0.734 0.231
0.580 0.922 0.769
0.420 0.078 0.231
0.078 0.420 0.231
0.266 0.266 0.769
0.000 0.000 0.000
```

V	23.63	A^3/atom
SG	C2/m, No. 12
total energy	-4.89	eV per atom

=====

2.
# Cs2Na3Tl

A geometry-optimized Cs2Na3Tl structure (PBE-GGA, Alexandria via LeMat-Bulk).

Structure (POSCAR):
```
Cs2Na3Tl
1.0
-4.560 1.763 -5.831
-3.006 -1.740 6.770
4.256 5.016 3.214
Cs Na Tl
2 3 1
Direct
0.745 0.373 0.118
0.255 0.627 0.882
0.500 0.500 0.500
0.000 0.000 0.500
0.500 0.000 0.500
0.000 0.000 0.000
```

V	48.83	A^3/atom
SG	C2/m, No. 12
ΔE_f	-0.010	eV/atom

=====

3.
# BeCoAg2

A geometry-optimized BeCoAg2 structure (PBE-GGA, Alexandria via LeMat-Bulk).

Structure (POSCAR):
```
BeCoAg2
1.0
4.671 -0.007 0.000
1.541 4.409 0.000
-3.106 -2.201 2.707
Co Ag Be
1 2 1
Direct
0.750 0.250 0.500
0.000 0.000 0.000
0.250 0.750 0.500
0.500 0.500 0.000
```

V	13.94	A^3/atom
SG	I-4m2, No. 119
ΔE_f	0.412	eV/atom

=====

4.
# MnCu

A geometry-optimized MnCu structure (PBE-GGA, Alexandria via LeMat-Bulk).

Structure (POSCAR):
```
MnCu
1.0
-1.349 4.446 1.540
-4.646 -1.514 0.301
0.761 -1.399 4.705
Mn Cu
4 4
Direct
0.806 0.194 0.000
0.306 0.306 0.500
0.194 0.806 0.000
0.694 0.694 0.500
0.314 0.314 0.000
0.814 0.186 0.500
0.686 0.686 0.000
0.186 0.814 0.500
```

V	14.88	A^3/atom
SG	P4_2/mnm, No. 136
ΔE_f	0.558	eV/atom

=====

5.
# Pu5ZrN6

A geometry-optimized Pu5ZrN6 structure (PBE-GGA, Alexandria via LeMat-Bulk).

Structure (POSCAR):
```
Pu5ZrN6
1.0
5.861 0.156 0.898
1.451 4.999 2.914
0.102 0.058 5.955
Pu N Zr
5 6 1
Direct
0.000 0.667 0.667
0.500 0.166 0.667
0.000 0.333 0.333
0.500 0.500 0.000
0.500 0.834 0.333
0.245 0.241 0.000
0.760 0.404 0.678
0.760 0.082 0.322
0.240 0.596 0.322
0.240 0.918 0.678
0.755 0.759 0.000
0.000 0.000 0.000
```

V	14.31	A^3/atom
SG	C2/m, No. 12
total energy	-12.15	eV per atom

=====

6.
# LiBeP

A geometry-optimized LiBeP structure (PBE-GGA, Alexandria via LeMat-Bulk).

Structure (POSCAR):
```
LiBeP
1.0
-3.481 -0.781 -1.174
0.971 -0.659 3.567
-5.762 18.256 4.943
Li P Be
6 6 6
Direct
0.333 0.667 0.793
0.000 0.000 0.127
0.000 0.000 0.873
0.333 0.667 0.540
0.667 0.333 0.460
0.667 0.333 0.207
0.000 0.000 0.739
0.333 0.667 0.406
0.667 0.333 0.073
0.333 0.667 0.927
0.000 0.000 0.261
0.667 0.333 0.594
0.667 0.333 0.960
0.667 0.333 0.707
0.333 0.667 0.040
0.000 0.000 0.626
0.000 0.000 0.374
0.333 0.667 0.293
```

V	13.41	A^3/atom
SG	R-3m, No. 166
ΔE_f	-0.530	eV/atom